Material: ErGaNiRu
Method: DFT, PBE
State: relaxed

Geometry as POSCAR:
```
ErGaNiRu
1.0
0.000 3.168 3.168
3.168 0.000 3.168
3.168 3.168 0.000
Er Ga Ni Ru
1 1 1 1
Cartesian
0.000 0.000 0.000
3.168 3.168 3.168
4.752 4.752 4.752
1.584 1.584 1.584
```

Summary:
The calculation puts the calculated formation energy at -0.399 eV/atom.